(1)
Computed, not measured: Ba2AgTe at its PBEsol-relaxed geometry at the SCAN level of DFT.

The calculation puts the energy relative to the elements, uncorrected at -982.6 meV/atom. As for the total moment: 0.00 μB/f.u.

It has space group Cm (No. 8), with a = 12.513 Å, b = 4.521 Å, c = 5.206 Å, α = 90.00°, β = 90.03° and γ = 90.00°. The distinct sites, in fractional coordinates, are Ba at (0.000, 0.000, 0.000), Ba at (0.241, 0.500, 0.501), Ag at (0.271, 0.000, 0.001) and Te at (0.463, 0.000, 0.500).

(2)
Computed, not measured: BaAg3Te at its PBEsol-relaxed geometry at the SCAN level of DFT.

The calculation puts the energy relative to the elements, uncorrected at 78.0 meV/atom. As for the total moment: 0.00 μB/f.u.

It has space group Pm-3m (No. 221), with a = 5.362 Å, b = 5.362 Å, c = 5.362 Å, α = 90.00°, β = 90.00° and γ = 90.00°. The distinct sites, in fractional coordinates, are Ba at (0.000, 0.000, 0.000), Ag at (0.000, 0.500, 0.500) and Te at (0.500, 0.500, 0.500).

(3)
Computed, not measured: Ba2Ag2Te at its PBEsol-relaxed geometry at the SCAN level of DFT.

The calculation puts the energy relative to the elements, uncorrected at -726.8 meV/atom. As for the total moment: 0.00 μB/f.u.

It has space group I4/mmm (No. 139), with a = 4.064 Å, b = 4.064 Å, c = 18.911 Å, α = 90.00°, β = 90.00° and γ = 90.00°. The distinct sites, in fractional coordinates, are Ba at (0.000, 0.000, 0.107), Ag at (0.000, 0.500, 0.250) and Te at (0.000, 0.000, 0.500).

(4)
Computed, not measured: BaAg2Te2 at its PBEsol-relaxed geometry at the SCAN level of DFT.

The calculation puts the energy relative to the elements, uncorrected at -834.3 meV/atom. As for the total moment: 0.00 μB/f.u.

It has space group I4/mmm (No. 139), with a = 4.360 Å, b = 4.360 Å, c = 14.689 Å, α = 90.00°, β = 90.00° and γ = 90.00°. The distinct sites, in fractional coordinates, are Ba at (0.000, 0.000, 0.000), Ag at (0.000, 0.500, 0.250) and Te at (0.000, 0.000, 0.375).

(5)
Computed, not measured: BaAg2Te2 at its PBEsol-relaxed geometry at the SCAN level of DFT.

The calculation puts the energy relative to the elements, uncorrected at -875.1 meV/atom. As for the total moment: 0.00 μB/f.u.

It has space group Pnma (No. 62), with a = 10.761 Å, b = 4.583 Å, c = 11.678 Å, α = 90.00°, β = 90.00° and γ = 90.00°. The distinct sites, in fractional coordinates, are Ba at (0.241, 0.250, 0.192), Ag at (0.061, 0.750, 0.409), Ag at (0.063, 0.750, 0.955), Te at (0.029, 0.250, 0.814) and Te at (0.180, 0.250, 0.481).

(6)
Computed, not measured: Ba2AgTe at its PBEsol-relaxed geometry at the SCAN level of DFT.

The calculation puts the energy relative to the elements, uncorrected at -988.8 meV/atom. As for the total moment: 0.00 μB/f.u.

It has space group P4/mmm (No. 123), with a = 5.718 Å, b = 5.718 Å, c = 4.212 Å, α = 90.00°, β = 90.00° and γ = 90.00°. The distinct sites, in fractional coordinates, are Ba at (0.000, 0.500, 0.000), Ag at (0.000, 0.000, 0.500) and Te at (0.500, 0.500, 0.500).

(7)
Computed, not measured: BaYAgTe3 at its PBEsol-relaxed geometry at the SCAN level of DFT.

The calculation puts the energy relative to the elements, uncorrected at -1419.7 meV/atom. As for the total moment: 0.00 μB/f.u.

It has space group Cmcm (No. 63), with a = 4.452 Å, b = 14.835 Å, c = 11.287 Å, α = 90.00°, β = 90.00° and γ = 90.00°. The distinct sites, in fractional coordinates, are Ba at (0.000, 0.244, 0.250), Y at (0.000, 0.000, 0.000), Ag at (0.000, 0.468, 0.750), Te at (0.000, 0.080, 0.750) and Te at (0.000, 0.360, 0.550).

(8)
Computed, not measured: BaTi3Ag at its PBEsol-relaxed geometry at the SCAN level of DFT.

As for the formation energy: 1.88 eV/atom. As for the total moment: 2.25 μB/f.u.

It has space group Pm-3m (No. 221), with a = 4.890 Å, b = 4.890 Å, c = 4.890 Å, α = 90.00°, β = 90.00° and γ = 90.00°. The distinct sites, in fractional coordinates, are Ba at (0.000, 0.000, 0.000), Ti at (0.000, 0.000, 0.500) and Ag at (0.500, 0.500, 0.500).

(9)
Computed, not measured: BaTi2Ag at its PBEsol-relaxed geometry at the SCAN level of DFT.

As for the formation energy: 0.78 eV/atom. As for the total moment: 0.00 μB/f.u.

It has space group Fm-3m (No. 225), with a = 6.829 Å, b = 6.829 Å, c = 6.829 Å, α = 90.00°, β = 90.00° and γ = 90.00°. The distinct sites, in fractional coordinates, are Ba at (0.000, 0.000, 0.000), Ti at (0.250, 0.250, 0.250) and Ag at (0.000, 0.000, 0.500).

(10)
Computed, not measured: BaTlAg at its PBEsol-relaxed geometry at the SCAN level of DFT.

The offset from the most stable computed form is 144 meV/atom. As for the formation energy: -0.25 eV/atom. As for the total moment: 0.00 μB/f.u.

It has space group I4mm (No. 107), with a = 3.920 Å, b = 3.920 Å, c = 11.458 Å, α = 90.00°, β = 90.00° and γ = 90.00°. The distinct sites, in fractional coordinates, are Ba at (0.000, 0.000, 0.000), Tl at (0.000, 0.000, 0.300) and Ag at (0.000, 0.000, 0.693).

(11)
Computed, not measured: BaTlAg at its PBEsol-relaxed geometry at the SCAN level of DFT.

The offset from the most stable computed form is 0 meV/atom. As for the formation energy: -0.39 eV/atom. As for the total moment: 0.00 μB/f.u.

It has space group P-6m2 (No. 187), with a = 4.9861 Å, b = 4.9861 Å, c = 4.2890 Å, α = 90.00°, β = 90.00° and γ = 120.00°. The distinct sites, in fractional coordinates, are Ba at (0.0000, 0.0000, 0.0000), Tl at (0.3333, 0.6667, 0.5000) and Ag at (0.6667, 0.3333, 0.5000).

(12)
Computed, not measured: Ba2TlAg2 at its PBEsol-relaxed geometry at the SCAN level of DFT.

As for the formation energy: -0.32 eV/atom. As for the total moment: 0.00 μB/f.u.

It has space group P4/mbm (No. 127), with a = 8.718 Å, b = 8.718 Å, c = 4.511 Å, α = 90.00°, β = 90.00° and γ = 90.00°. The distinct sites, in fractional coordinates, are Ba at (0.183, 0.317, 0.000), Tl at (0.000, 0.000, 0.500) and Ag at (0.115, 0.615, 0.500).

Results for electronic total energy: -303.3, -170.5, -365.4, -361.9, -724.6, -151.7, -876.1, -109.6, -399.4, -288.0, -144.4, -431.6 (in eV for the cell shown, following the order of the records).